No. 1
Compound: Ti3In
Source: Alexandria
Functional: PBE
Structure: optimized geometry

Energy relative to the elements ... -32.1 meV/atom
E ... -26.552 eV/f.u.

Cell and atoms, written as CIF:
```
data_Ti3In
_space_group_name_H-M_alt 'P 1'
_space_group_IT_number 1
_cell_length_a 4.687
_cell_length_b 4.687
_cell_length_c 4.687
_cell_angle_alpha 60.00
_cell_angle_beta 60.00
_cell_angle_gamma 60.00
loop_
_space_group_symop_operation_xyz
'x,y,z'
loop_
_atom_site_label
_atom_site_type_symbol
_atom_site_fract_x
_atom_site_fract_y
_atom_site_fract_z
_atom_site_occupancy
Ti1 Ti 0.750 0.750 0.750 1
Ti2 Ti 0.000 0.000 0.000 1
Ti3 Ti 0.250 0.250 0.250 1
In1 In 0.500 0.500 0.500 1
```



No. 2
Compound: SnIrI2N
Source: Alexandria
Functional: PBE
Structure: optimized geometry

E above lowest polymorph ... 1.1577 eV/atom
E ... -16.849 eV/f.u.

Cell and atoms, written as CIF:
```
data_SnIrI2N
_space_group_name_H-M_alt 'P 1'
_space_group_IT_number 1
_cell_length_a 5.970
_cell_length_b 5.970
_cell_length_c 3.796
_cell_angle_alpha 90.00
_cell_angle_beta 90.00
_cell_angle_gamma 90.00
loop_
_space_group_symop_operation_xyz
'x,y,z'
loop_
_atom_site_label
_atom_site_type_symbol
_atom_site_fract_x
_atom_site_fract_y
_atom_site_fract_z
_atom_site_occupancy
I1 I 0.000 0.500 0.000 1
I2 I 0.500 0.000 0.000 1
Ir1 Ir 0.500 0.500 0.500 1
Sn1 Sn 0.000 0.000 0.000 1
N1 N 0.000 0.000 0.500 1
```



No. 3
Compound: CrIn2P
Source: Alexandria
Functional: PBE
Structure: optimized geometry

Energy relative to the elements ... 371.5 meV/atom
E ... -19.024 eV/f.u.

Cell and atoms, written as CIF:
```
data_CrIn2P
_space_group_name_H-M_alt 'P 1'
_space_group_IT_number 1
_cell_length_a 4.738
_cell_length_b 4.738
_cell_length_c 3.742
_cell_angle_alpha 90.00
_cell_angle_beta 90.00
_cell_angle_gamma 107.12
loop_
_space_group_symop_operation_xyz
'x,y,z'
loop_
_atom_site_label
_atom_site_type_symbol
_atom_site_fract_x
_atom_site_fract_y
_atom_site_fract_z
_atom_site_occupancy
Cr1 Cr 0.000 0.500 0.500 1
In1 In 0.000 0.000 0.000 1
In2 In 0.500 0.500 0.000 1
P1 P 0.500 0.000 0.500 1
```



No. 4
Compound: Dy7Y3Mg
Source: Alexandria
Functional: PBE
Structure: optimized geometry

Energy relative to the elements ... 196.1 meV/atom
E ... -51.044 eV/f.u.

Cell and atoms, written as CIF:
```
data_Dy7Y3Mg
_space_group_name_H-M_alt 'P 1'
_space_group_IT_number 1
_cell_length_a 8.564
_cell_length_b 6.979
_cell_length_c 6.979
_cell_angle_alpha 120.00
_cell_angle_beta 90.00
_cell_angle_gamma 90.00
loop_
_space_group_symop_operation_xyz
'x,y,z'
loop_
_atom_site_label
_atom_site_type_symbol
_atom_site_fract_x
_atom_site_fract_y
_atom_site_fract_z
_atom_site_occupancy
Dy1 Dy 0.120 0.167 0.833 1
Dy2 Dy 0.120 0.167 0.334 1
Dy3 Dy 0.117 0.667 0.333 1
Dy4 Dy 0.446 0.830 0.170 1
Dy5 Dy 0.446 0.339 0.170 1
Dy6 Dy 0.446 0.830 0.661 1
Dy7 Dy 0.120 0.666 0.833 1
Y1 Y 0.785 0.501 0.499 1
Y2 Y 0.785 0.501 0.003 1
Y3 Y 0.785 0.997 0.499 1
Mg1 Mg 0.447 0.333 0.667 1
```



No. 5
Compound: SbOsCl
Source: Alexandria
Functional: PBE
Structure: optimized geometry

E above lowest polymorph ... 0.1532 eV/atom
E ... -15.488 eV/f.u.

Cell and atoms, written as CIF:
```
data_SbOsCl
_space_group_name_H-M_alt 'P 1'
_space_group_IT_number 1
_cell_length_a 8.297
_cell_length_b 7.970
_cell_length_c 3.156
_cell_angle_alpha 84.71
_cell_angle_beta 73.03
_cell_angle_gamma 22.26
loop_
_space_group_symop_operation_xyz
'x,y,z'
loop_
_atom_site_label
_atom_site_type_symbol
_atom_site_fract_x
_atom_site_fract_y
_atom_site_fract_z
_atom_site_occupancy
Cl1 Cl 0.039 0.039 0.961 1
Os1 Os 0.659 0.659 0.341 1
Sb1 Sb 0.303 0.303 0.697 1
```



No. 6
Compound: NdTm6In6
Source: Alexandria
Functional: PBE
Structure: optimized geometry

Energy relative to the elements ... -315.9 meV/atom
E ... -52.134 eV/f.u.

Cell and atoms, written as CIF:
```
data_NdTm6In6
_space_group_name_H-M_alt 'P 1'
_space_group_IT_number 1
_cell_length_a 6.195
_cell_length_b 6.195
_cell_length_c 10.685
_cell_angle_alpha 90.00
_cell_angle_beta 90.00
_cell_angle_gamma 120.00
loop_
_space_group_symop_operation_xyz
'x,y,z'
loop_
_atom_site_label
_atom_site_type_symbol
_atom_site_fract_x
_atom_site_fract_y
_atom_site_fract_z
_atom_site_occupancy
Nd1 Nd 0.000 0.000 0.000 1
Tm1 Tm 0.000 0.000 0.657 1
Tm2 Tm 0.000 0.000 0.343 1
Tm3 Tm 0.333 0.667 0.000 1
Tm4 Tm 0.667 0.333 0.000 1
Tm5 Tm 0.333 0.667 0.500 1
Tm6 Tm 0.667 0.333 0.500 1
In1 In 0.000 0.500 0.755 1
In2 In 0.500 0.000 0.755 1
In3 In 0.500 0.500 0.755 1
In4 In 0.500 0.000 0.245 1
In5 In 0.000 0.500 0.245 1
In6 In 0.500 0.500 0.245 1
```



No. 7
Compound: Sr3ScRu
Source: Alexandria
Functional: PBE
Structure: optimized geometry

E above lowest polymorph ... 0.0000 eV/atom
Energy relative to the elements ... 527.3 meV/atom
E ... -18.016 eV/f.u.

Cell and atoms, written as CIF:
```
data_Sr3ScRu
_space_group_name_H-M_alt 'P 1'
_space_group_IT_number 1
_cell_length_a 5.724
_cell_length_b 5.724
_cell_length_c 5.724
_cell_angle_alpha 90.00
_cell_angle_beta 90.00
_cell_angle_gamma 90.00
loop_
_space_group_symop_operation_xyz
'x,y,z'
loop_
_atom_site_label
_atom_site_type_symbol
_atom_site_fract_x
_atom_site_fract_y
_atom_site_fract_z
_atom_site_occupancy
Sc1 Sc 0.500 0.500 0.500 1
Ru1 Ru 0.000 0.000 0.000 1
Sr1 Sr 0.000 0.500 0.000 1
Sr2 Sr 0.000 0.000 0.500 1
Sr3 Sr 0.500 0.000 0.000 1
```



No. 8
Compound: HoPa2O7
Source: Alexandria
Functional: PBE
Structure: optimized geometry

E ... -91.980 eV/f.u.

Cell and atoms, written as CIF:
```
data_HoPa2O7
_space_group_name_H-M_alt 'P 1'
_space_group_IT_number 1
_cell_length_a 3.876
_cell_length_b 3.876
_cell_length_c 10.662
_cell_angle_alpha 79.53
_cell_angle_beta 79.53
_cell_angle_gamma 60.00
loop_
_space_group_symop_operation_xyz
'x,y,z'
loop_
_atom_site_label
_atom_site_type_symbol
_atom_site_fract_x
_atom_site_fract_y
_atom_site_fract_z
_atom_site_occupancy
Ho1 Ho 0.500 0.500 0.500 1
Pa1 Pa 0.069 0.069 0.792 1
Pa2 Pa 0.931 0.931 0.208 1
O1 O 0.719 0.719 0.843 1
O2 O 0.575 0.575 0.275 1
O3 O 0.000 0.000 0.000 1
O4 O 0.281 0.281 0.157 1
O5 O 0.140 0.140 0.581 1
O6 O 0.860 0.860 0.419 1
O7 O 0.425 0.425 0.725 1
```



No. 9
Compound: Tc2AsHOs
Source: Alexandria
Functional: PBE
Structure: optimized geometry

E ... -30.047 eV/f.u.

Cell and atoms, written as CIF:
```
data_Tc2AsHOs
_space_group_name_H-M_alt 'P 1'
_space_group_IT_number 1
_cell_length_a 4.862
_cell_length_b 4.640
_cell_length_c 4.862
_cell_angle_alpha 90.00
_cell_angle_beta 90.00
_cell_angle_gamma 90.00
loop_
_space_group_symop_operation_xyz
'x,y,z'
loop_
_atom_site_label
_atom_site_type_symbol
_atom_site_fract_x
_atom_site_fract_y
_atom_site_fract_z
_atom_site_occupancy
H1 H 0.500 0.500 0.500 1
As1 As 0.000 0.500 0.000 1
Os1 Os 0.000 0.000 0.000 1
Tc1 Tc 0.000 0.000 0.500 1
Tc2 Tc 0.500 0.000 0.000 1
```



No. 10
Compound: Li3Cu4Ni
Source: Alexandria
Functional: PBE
Structure: optimized geometry

E above lowest polymorph ... 0.0000 eV/atom
Energy relative to the elements ... -5.0 meV/atom
E ... -27.948 eV/f.u.

Cell and atoms, written as CIF:
```
data_Li3Cu4Ni
_space_group_name_H-M_alt 'P 1'
_space_group_IT_number 1
_cell_length_a 4.123
_cell_length_b 4.123
_cell_length_c 6.419
_cell_angle_alpha 108.74
_cell_angle_beta 108.73
_cell_angle_gamma 90.00
loop_
_space_group_symop_operation_xyz
'x,y,z'
loop_
_atom_site_label
_atom_site_type_symbol
_atom_site_fract_x
_atom_site_fract_y
_atom_site_fract_z
_atom_site_occupancy
Ni1 Ni 0.500 0.000 0.000 1
Cu1 Cu 0.381 0.380 0.761 1
Cu2 Cu 0.619 0.620 0.239 1
Cu3 Cu 0.119 0.119 0.239 1
Cu4 Cu 0.881 0.881 0.761 1
Li1 Li 0.000 0.500 0.000 1
Li2 Li 0.746 0.246 0.492 1
Li3 Li 0.254 0.754 0.508 1
```



No. 11
Compound: Rb3CeBi2Te6
Source: Alexandria
Functional: PBE
Structure: optimized geometry

E ... -45.646 eV/f.u.

Cell and atoms, written as CIF:
```
data_Rb3CeBi2Te6
_space_group_name_H-M_alt 'P 1'
_space_group_IT_number 1
_cell_length_a 8.083
_cell_length_b 8.083
_cell_length_c 8.974
_cell_angle_alpha 98.63
_cell_angle_beta 98.63
_cell_angle_gamma 120.00
loop_
_space_group_symop_operation_xyz
'x,y,z'
loop_
_atom_site_label
_atom_site_type_symbol
_atom_site_fract_x
_atom_site_fract_y
_atom_site_fract_z
_atom_site_occupancy
Rb1 Rb 0.167 0.833 0.500 1
Rb2 Rb 0.833 0.167 0.500 1
Rb3 Rb 0.500 0.500 0.500 1
Ce1 Ce 0.000 0.000 0.000 1
Bi1 Bi 0.333 0.667 0.000 1
Bi2 Bi 0.667 0.333 0.000 1
Te1 Te 0.933 0.596 0.798 1
Te2 Te 0.731 0.731 0.203 1
Te3 Te 0.067 0.404 0.202 1
Te4 Te 0.596 0.933 0.798 1
Te5 Te 0.269 0.269 0.797 1
Te6 Te 0.404 0.067 0.202 1
```



No. 12
Compound: Th4AuSe2S
Source: Alexandria
Functional: PBE
Structure: optimized geometry

E ... -54.890 eV/f.u.

Cell and atoms, written as CIF:
```
data_Th4AuSe2S
_space_group_name_H-M_alt 'P 1'
_space_group_IT_number 1
_cell_length_a 4.141
_cell_length_b 7.431
_cell_length_c 7.274
_cell_angle_alpha 71.11
_cell_angle_beta 90.00
_cell_angle_gamma 90.00
loop_
_space_group_symop_operation_xyz
'x,y,z'
loop_
_atom_site_label
_atom_site_type_symbol
_atom_site_fract_x
_atom_site_fract_y
_atom_site_fract_z
_atom_site_occupancy
Th1 Th 0.000 0.739 0.765 1
Th2 Th 0.000 0.261 0.235 1
Th3 Th 0.500 0.743 0.244 1
Th4 Th 0.500 0.257 0.756 1
Au1 Au 0.000 0.500 0.500 1
Se1 Se 0.000 0.000 0.000 1
Se2 Se 0.500 0.000 0.500 1
S1 S 0.500 0.500 0.000 1
```



What is the formula in the eleventh record? Rb3CeBi2Te6



Which formula does entry 3 have? CrIn2P



The lowest E belongs to which entry? HoPa2O7



Among the records above, which one has the highest E? SbOsCl